The following is a GGA-PBE calculation of a relaxed structure of K2YZnBr6, from the Open Quantum Materials Database.

Structure (CIF):
```
data_K2YZnBr6
_chemical_formula_sum 'K8 Y4 Zn4 Br24'
_space_group_name_H-M_alt 'F m -3 m'
_space_group_IT_number 225
_space_group_name_Hall '-F 4 2 3'
_cell_length_a 11.2635
_cell_length_b 11.2635
_cell_length_c 11.2635
_cell_angle_alpha 90.00
_cell_angle_beta 90.00
_cell_angle_gamma 90.00
loop_
_atom_site_label
_atom_site_type_symbol
_atom_site_fract_x
_atom_site_fract_y
_atom_site_fract_z
K1 K 0.2500 0.2500 0.2500
Y1 Y 0.0000 0.0000 0.0000
Zn1 Zn 0.0000 0.0000 0.5000
Br1 Br 0.0000 0.0000 0.2483
```

ρ   3.31 g cm⁻³
Final energy   -3.4181 eV per atom

The following is a GGA-PBE calculation of a relaxed structure of La2Nd2Br5N, from the Open Quantum Materials Database.

Structure (CIF):
```
data_La2Nd2Br5N
_chemical_formula_sum 'La4 Nd4 Br10 N2'
_space_group_name_H-M_alt 'C 1 2/m 1'
_space_group_IT_number 12
_cell_length_a 18.2593
_cell_length_b 3.9302
_cell_length_c 8.3734
_cell_angle_alpha 90.00
_cell_angle_beta 104.12
_cell_angle_gamma 90.00
loop_
_space_group_symop_operation_xyz
'x,y,z'
'-x,-y,-z'
'-x,y,-z'
'x,-y,z'
'x+1/2,y+1/2,z'
'-x+1/2,-y+1/2,-z'
'-x+1/2,y+1/2,-z'
'x+1/2,-y+1/2,z'
loop_
_atom_site_label
_atom_site_type_symbol
_atom_site_fract_x
_atom_site_fract_y
_atom_site_fract_z
La1 La 0.1411 0.0000 0.0769
Nd1 Nd 0.0011 0.5000 0.7980
Br1 Br 0.0000 0.0000 0.5000
Br2 Br 0.1636 0.5000 0.3552
Br3 Br 0.1698 0.5000 0.8185
N1 N 0.0000 0.0000 0.0000
```

ρ   5.58 g cm⁻³
Final energy   -5.2675 eV per atom

The following is a GGA-PBE calculation of a relaxed structure of LaPrBrN, from the Open Quantum Materials Database.

Structure (CIF):
```
data_LaPrBrN
_chemical_formula_sum 'La2 Pr2 Br2 N2'
_space_group_name_H-M_alt 'P 63 m c'
_space_group_IT_number 186
_space_group_name_Hall 'P 6c -2c'
_cell_length_a 3.7625
_cell_length_b 3.7625
_cell_length_c 14.9099
_cell_angle_alpha 90.00
_cell_angle_beta 90.00
_cell_angle_gamma 120.00
loop_
_atom_site_label
_atom_site_type_symbol
_atom_site_fract_x
_atom_site_fract_y
_atom_site_fract_z
La1 La 0.3333 0.6667 0.0000
Pr1 Pr 0.3333 0.6667 0.3185
Br1 Br 0.3333 0.6667 0.6623
N1 N 0.0000 0.0000 0.4097
```

ρ   6.79 g cm⁻³
Final energy   -6.3665 eV per atom

The following is a GGA-PBE calculation of a relaxed structure of LaPrBrN, from the Open Quantum Materials Database.

Structure (CIF):
```
data_LaPrBrN
_chemical_formula_sum 'La2 Pr2 Br2 N2'
_space_group_name_H-M_alt 'P -6 m 2'
_space_group_IT_number 187
_space_group_name_Hall 'P -6 2'
_cell_length_a 3.7589
_cell_length_b 3.7589
_cell_length_c 14.8958
_cell_angle_alpha 90.00
_cell_angle_beta 90.00
_cell_angle_gamma 120.00
loop_
_atom_site_label
_atom_site_type_symbol
_atom_site_fract_x
_atom_site_fract_y
_atom_site_fract_z
La1 La 0.0000 0.0000 0.1592
Pr1 Pr 0.6667 0.3333 0.3410
Br1 Br 0.0000 0.0000 0.5000
Br2 Br 0.6667 0.3333 0.0000
N1 N 0.3333 0.6667 0.2501
```

ρ   6.81 g cm⁻³
Final energy   -6.3661 eV per atom

The following is a GGA-PBE calculation of a relaxed structure of LaPrBrN, from the Open Quantum Materials Database.

Structure (CIF):
```
data_LaPrBrN
_chemical_formula_sum 'La2 Pr2 Br2 N2'
_space_group_name_H-M_alt 'P -3 m 1'
_space_group_IT_number 164
_space_group_name_Hall '-P 3 2"'
_cell_length_a 3.7631
_cell_length_b 3.7631
_cell_length_c 14.8936
_cell_angle_alpha 90.00
_cell_angle_beta 90.00
_cell_angle_gamma 120.00
loop_
_atom_site_label
_atom_site_type_symbol
_atom_site_fract_x
_atom_site_fract_y
_atom_site_fract_z
La1 La 0.3333 0.6667 0.4082
Pr1 Pr 0.3333 0.6667 0.0896
Br1 Br 0.3333 0.6667 0.7543
N1 N 0.0000 0.0000 0.0000
N2 N 0.0000 0.0000 0.5000
```

ρ   6.80 g cm⁻³
Final energy   -6.3655 eV per atom

The following is a GGA-PBE calculation of a relaxed structure of LaPrBr2N, from the Open Quantum Materials Database.

Structure (CIF):
```
data_LaPrBr2N
_chemical_formula_sum 'La1 Pr1 Br2 N1'
_space_group_name_H-M_alt 'P 3 m 1'
_space_group_IT_number 156
_cell_length_a 3.8774
_cell_length_b 3.8774
_cell_length_c 10.4921
_cell_angle_alpha 90.00
_cell_angle_beta 90.00
_cell_angle_gamma 120.00
loop_
_space_group_symop_operation_xyz
'x,y,z'
'-y,x-y,z'
'-x+y,-x,z'
'-y,-x,z'
'-x+y,y,z'
'x,x-y,z'
loop_
_atom_site_label
_atom_site_type_symbol
_atom_site_fract_x
_atom_site_fract_y
_atom_site_fract_z
La1 La 0.0000 0.0000 0.0000
Pr1 Pr 0.3333 0.6667 0.7345
Br1 Br 0.0000 0.0000 0.5430
Br2 Br 0.3333 0.6667 0.1951
N1 N 0.6667 0.3333 0.8666
```

ρ   5.51 g cm⁻³
Final energy   -5.9204 eV per atom

The following is a GGA-PBE calculation of a relaxed structure of LaPuBr3N, from the Open Quantum Materials Database.

Structure (CIF):
```
data_LaPuBr3N
_chemical_formula_sum 'La4 Pu4 Br12 N4'
_space_group_name_H-M_alt 'C 1 2/m 1'
_space_group_IT_number 12
_cell_length_a 17.7560
_cell_length_b 4.0693
_cell_length_c 11.4961
_cell_angle_alpha 90.00
_cell_angle_beta 121.74
_cell_angle_gamma 90.00
loop_
_space_group_symop_operation_xyz
'x,y,z'
'-x,-y,-z'
'-x,y,-z'
'x,-y,z'
'x+1/2,y+1/2,z'
'-x+1/2,-y+1/2,-z'
'-x+1/2,y+1/2,-z'
'x+1/2,-y+1/2,z'
loop_
_atom_site_label
_atom_site_type_symbol
_atom_site_fract_x
_atom_site_fract_y
_atom_site_fract_z
La1 La 0.1333 0.0000 0.2832
Pu1 Pu 0.0790 0.5000 0.9580
Br1 Br 0.0468 0.0000 0.7472
Br2 Br 0.1622 0.5000 0.5099
Br3 Br 0.2211 0.0000 0.1159
N1 N 0.0673 0.5000 0.1411
```

ρ   5.99 g cm⁻³
Final energy   -7.1592 eV per atom

The following is a GGA-PBE calculation of a relaxed structure of LaSmBrN, from the Open Quantum Materials Database.

Structure (CIF):
```
data_LaSmBrN
_chemical_formula_sum 'La2 Sm2 Br2 N2'
_space_group_name_H-M_alt 'P -3 m 1'
_space_group_IT_number 164
_space_group_name_Hall '-P 3 2"'
_cell_length_a 3.7163
_cell_length_b 3.7163
_cell_length_c 14.7337
_cell_angle_alpha 90.00
_cell_angle_beta 90.00
_cell_angle_gamma 120.00
loop_
_atom_site_label
_atom_site_type_symbol
_atom_site_fract_x
_atom_site_fract_y
_atom_site_fract_z
La1 La 0.3333 0.6667 0.4061
Sm1 Sm 0.3333 0.6667 0.0867
Br1 Br 0.3333 0.6667 0.7616
N1 N 0.0000 0.0000 0.0000
N2 N 0.0000 0.0000 0.5000
```

ρ   7.22 g cm⁻³
Final energy   -6.3645 eV per atom

The following is a GGA-PBE calculation of a relaxed structure of LaSmBrN, from the Open Quantum Materials Database.

Structure (CIF):
```
data_LaSmBrN
_chemical_formula_sum 'La2 Sm2 Br2 N2'
_space_group_name_H-M_alt 'P -6 m 2'
_space_group_IT_number 187
_space_group_name_Hall 'P -6 2'
_cell_length_a 3.7202
_cell_length_b 3.7202
_cell_length_c 14.6776
_cell_angle_alpha 90.00
_cell_angle_beta 90.00
_cell_angle_gamma 120.00
loop_
_atom_site_label
_atom_site_type_symbol
_atom_site_fract_x
_atom_site_fract_y
_atom_site_fract_z
La1 La 0.0000 0.0000 0.1623
Sm1 Sm 0.6667 0.3333 0.3429
Br1 Br 0.0000 0.0000 0.5000
Br2 Br 0.6667 0.3333 0.0000
N1 N 0.3333 0.6667 0.2632
```

ρ   7.23 g cm⁻³
Final energy   -6.3706 eV per atom

The following is a GGA-PBE calculation of a relaxed structure of La3SmBr2N2, from the Open Quantum Materials Database.

Structure (CIF):
```
data_La3SmBr2N2
_chemical_formula_sum 'La3 Sm1 Br2 N2'
_space_group_name_H-M_alt 'P 3 m 1'
_space_group_IT_number 156
_cell_length_a 3.7464
_cell_length_b 3.7464
_cell_length_c 14.8714
_cell_angle_alpha 90.00
_cell_angle_beta 90.00
_cell_angle_gamma 120.00
loop_
_space_group_symop_operation_xyz
'x,y,z'
'-y,x-y,z'
'-x+y,-x,z'
'-y,-x,z'
'-x+y,y,z'
'x,x-y,z'
loop_
_atom_site_label
_atom_site_type_symbol
_atom_site_fract_x
_atom_site_fract_y
_atom_site_fract_z
La1 La 0.0000 0.0000 0.0000
La2 La 0.0000 0.0000 0.3199
La3 La 0.6667 0.3333 0.5041
Sm1 Sm 0.6667 0.3333 0.8215
Br1 Br 0.0000 0.0000 0.6700
Br2 Br 0.6667 0.3333 0.1590
N1 N 0.3333 0.6667 0.4117
N2 N 0.3333 0.6667 0.8999
```

ρ   6.93 g cm⁻³
Final energy   -6.4075 eV per atom

The following is a GGA-PBE calculation of a relaxed structure of La2Sm2Br5N, from the Open Quantum Materials Database.

Structure (CIF):
```
data_La2Sm2Br5N
_chemical_formula_sum 'La4 Sm4 Br10 N2'
_space_group_name_H-M_alt 'C 1 2/m 1'
_space_group_IT_number 12
_cell_length_a 18.1775
_cell_length_b 3.9017
_cell_length_c 8.5051
_cell_angle_alpha 90.00
_cell_angle_beta 103.37
_cell_angle_gamma 90.00
loop_
_space_group_symop_operation_xyz
'x,y,z'
'-x,-y,-z'
'-x,y,-z'
'x,-y,z'
'x+1/2,y+1/2,z'
'-x+1/2,-y+1/2,-z'
'-x+1/2,y+1/2,-z'
'x+1/2,-y+1/2,z'
loop_
_atom_site_label
_atom_site_type_symbol
_atom_site_fract_x
_atom_site_fract_y
_atom_site_fract_z
La1 La 0.0012 0.0000 0.2954
Sm1 Sm 0.1370 0.5000 0.5699
Br1 Br 0.0000 0.5000 0.0000
Br2 Br 0.1682 0.0000 0.8347
Br3 Br 0.1741 0.0000 0.3354
N1 N 0.0000 0.5000 0.5000
```

ρ   5.61 g cm⁻³
Final energy   -5.2636 eV per atom

- The lowest final energy belongs to which entry?
  LaPuBr3N